Material: TaBi2SbI
Method: DFT, PBE
State: relaxed

```
TaBi2SbI
1.0
5.7943 0.0000 0.0000
0.0000 5.7943 0.0000
0.0000 0.0000 5.7291
Ta Bi Sb I
1 2 1 1
direct
0.0000 0.0000 0.0000
0.0000 0.5000 0.5000
0.5000 0.0000 0.5000
0.5000 0.5000 0.5000
0.5000 0.5000 0.0000
```

Values from the calculation:
VASP energy in eV/cell: -17.54
Energy relative to the elements, uncorrected in eV/atom: 1.55
DOS at the Fermi energy in states/eV/cell: 6.68
Space-group type: P4/mmm (123)